(1)
CeHI2 | PBE-GGA | relaxed

Properties
SG: R3m (160)

a b c (Å): 4.158 4.158 8.564
angles (deg): 90.02 104.02 120.00
Fractional positions:
Ce1 0.708 0.604 0.312
H1 0.042 0.271 0.313
I1 0.200 0.850 0.049
I2 0.550 0.025 0.576

=====

(2)
NaPrBi2 | PBE-GGA | relaxed

Properties
E_form, kJ per mole of atoms: -42.4
ΔE to the lowest computed polymorph, kJ per mole of atoms: 13.8
SG: R3m (160)

a b c (Å): 4.964 4.964 7.194
angles (deg): 69.81 69.81 60.00
Fractional positions:
Na1 0.491 0.491 0.527
Pr1 0.672 0.672 0.985
Bi1 0.087 0.087 0.738
Bi2 0.250 0.250 0.250

=====

Magnetic moment in μB per cell, matching the order above: 1.0, 0.0
VASP energy in Ha/atom, matching the order above: -0.156, -0.144